(1)
VASP calculation (PBE) on a geometry-optimized DyTaMn4 structure.

Total energy = -8.819 eV/atom

Structure (CIF):
```
data_DyTaMn4
_chemical_formula_sum 'Dy4 Ta4 Mn16'
_cell_length_a 7.026
_cell_length_b 7.026
_cell_length_c 7.026
_cell_angle_alpha 90.00
_cell_angle_beta 90.00
_cell_angle_gamma 90.00
_space_group_name_H-M_alt 'F -4 3 m'
_space_group_IT_number 216
_space_group_name_Hall 'F -4 2 3'
loop_
_atom_site_label
_atom_site_type_symbol
_atom_site_fract_x
_atom_site_fract_y
_atom_site_fract_z
Dy1 Dy 0.000 0.000 0.000
Ta1 Ta 0.250 0.250 0.750
Mn1 Mn 0.124 0.124 0.376
```

***

(2)
VASP calculation (PBE) on a geometry-optimized BePb4 structure.

Total energy = -3.401 eV/atom

Structure (CIF):
```
data_BePb4
_chemical_formula_sum 'Be1 Pb4'
_cell_length_a 5.215
_cell_length_b 5.215
_cell_length_c 5.215
_cell_angle_alpha 90.00
_cell_angle_beta 90.00
_cell_angle_gamma 90.00
_space_group_name_H-M_alt 'P m -3 m'
_space_group_IT_number 221
_space_group_name_Hall '-P 4 2 3'
loop_
_atom_site_label
_atom_site_type_symbol
_atom_site_fract_x
_atom_site_fract_y
_atom_site_fract_z
Be1 Be 0.000 0.000 0.000
Pb1 Pb 0.000 0.000 0.500
Pb2 Pb 0.500 0.500 0.500
```